(1)
# Nd3ThAs3, relaxed, DFT PBE-GGA
data_Nd3ThAs3
_chemical_formula_sum 'Nd12 Th4 As12'
_space_group_name_H-M_alt 'P 21 3'
_space_group_IT_number 198
_space_group_name_Hall 'P 2ac 2ab 3'
_cell_length_a 9.0327
_cell_length_b 9.0327
_cell_length_c 9.0327
_cell_angle_alpha 90.00
_cell_angle_beta 90.00
_cell_angle_gamma 90.00
loop_
_atom_site_label
_atom_site_fract_x
_atom_site_fract_y
_atom_site_fract_z
_atom_site_occupancy
Nd1 0.0649 0.4351 0.5649 1
Nd2 0.1831 0.1831 0.1831 1
Nd3 0.1843 0.8157 0.3157 1
Th1 0.0685 0.5685 0.9315 1
As1 0.9998 0.2522 0.8736 1
# crystal system = cubic
# total DFT energy (no corrections) = -0.2320 hartree per atom
# energy of formation from the pure elements = -8.5 eV/f.u.

(2)
# Nd4ThAs5, relaxed, DFT PBE-GGA
data_Nd4ThAs5
_chemical_formula_sum 'Nd8 Th2 As10'
_space_group_name_H-M_alt 'I 4/m'
_space_group_IT_number 87
_space_group_name_Hall '-I 4'
_cell_length_a 9.5456
_cell_length_b 9.5456
_cell_length_c 6.0383
_cell_angle_alpha 90.00
_cell_angle_beta 90.00
_cell_angle_gamma 90.00
loop_
_atom_site_label
_atom_site_fract_x
_atom_site_fract_y
_atom_site_fract_z
_atom_site_occupancy
Nd1 0.0994 0.3013 0.0000 1
Th1 0.0000 0.0000 0.5000 1
As1 0.0000 0.0000 0.0000 1
As2 0.0988 0.2969 0.5000 1
# crystal system = tetragonal
# total DFT energy (no corrections) = -0.2385 hartree per atom
# energy of formation from the pure elements = -15.2 eV/f.u.

(3)
# NdTh3As4, relaxed, DFT PBE-GGA
data_NdTh3As4
_chemical_formula_sum 'Nd2 Th6 As8'
_space_group_name_H-M_alt 'C m m m'
_space_group_IT_number 65
_space_group_name_Hall '-C 2 2'
_cell_length_a 8.5244
_cell_length_b 12.0328
_cell_length_c 4.2532
_cell_angle_alpha 90.00
_cell_angle_beta 90.00
_cell_angle_gamma 90.00
loop_
_atom_site_label
_atom_site_fract_x
_atom_site_fract_y
_atom_site_fract_z
_atom_site_occupancy
Nd1 0.0000 0.0000 0.0000 1
Th1 0.0000 0.5000 0.0000 1
Th2 0.2500 0.2500 0.5000 1
As1 0.0000 0.2506 0.0000 1
As2 0.2480 0.5000 0.5000 1
# crystal system = orthorhombic
# total DFT energy (no corrections) = -0.2623 hartree per atom
# energy of formation from the pure elements = -11.5 eV/f.u.

(4)
# NdTh4As6, relaxed, DFT PBE-GGA
data_NdTh4As6
_chemical_formula_sum 'Nd6 Th24 As36'
_space_group_name_H-M_alt 'R -3 c'
_space_group_IT_number 167
_space_group_name_Hall '-R 3 2"c'
_cell_length_a 11.7761
_cell_length_b 11.7761
_cell_length_c 14.5136
_cell_angle_alpha 90.00
_cell_angle_beta 90.00
_cell_angle_gamma 120.00
loop_
_atom_site_label
_atom_site_fract_x
_atom_site_fract_y
_atom_site_fract_z
_atom_site_occupancy
Nd1 0.0000 0.0000 0.0000 1
Th1 0.0000 0.0000 0.2500 1
Th2 0.0000 0.3854 0.2500 1
As1 0.0311 0.2114 0.3838 1
# crystal system = trigonal
# total DFT energy (no corrections) = -0.2510 hartree per atom
# energy of formation from the pure elements = -12.8 eV/f.u.

(5)
# Nd2ThAs, relaxed, DFT PBE-GGA
data_Nd2ThAs
_chemical_formula_sum 'Nd6 Th3 As3'
_space_group_name_H-M_alt 'R -3 m'
_space_group_IT_number 166
_space_group_name_Hall '-R 3 2"'
_cell_length_a 3.9318
_cell_length_b 3.9318
_cell_length_c 28.2891
_cell_angle_alpha 90.00
_cell_angle_beta 90.00
_cell_angle_gamma 120.00
loop_
_atom_site_label
_atom_site_fract_x
_atom_site_fract_y
_atom_site_fract_z
_atom_site_occupancy
Nd1 0.0000 0.0000 0.2313 1
Th1 0.0000 0.0000 0.0000 1
As1 0.0000 0.0000 0.5000 1
# crystal system = trigonal
# total DFT energy (no corrections) = -0.2185 hartree per atom
# energy of formation from the pure elements = -2.2 eV/f.u.

(6)
# NdThAs2, relaxed, DFT PBE-GGA
data_NdThAs2
_chemical_formula_sum 'Nd2 Th2 As4'
_space_group_name_H-M_alt 'P 63/m m c'
_space_group_IT_number 194
_space_group_name_Hall '-P 6c 2c'
_cell_length_a 4.2408
_cell_length_b 4.2408
_cell_length_c 14.0788
_cell_angle_alpha 90.00
_cell_angle_beta 90.00
_cell_angle_gamma 120.00
loop_
_atom_site_label
_atom_site_fract_x
_atom_site_fract_y
_atom_site_fract_z
_atom_site_occupancy
Nd1 0.3333 0.6667 0.2500 1
Th1 0.0000 0.0000 0.0000 1
As1 0.3333 0.6667 0.6215 1
# crystal system = hexagonal
# relative energy among the computed polymorphs = 0.0371 eV per atom
# total DFT energy (no corrections) = -0.2502 hartree per atom
# energy of formation from the pure elements = -5.7 eV/f.u.

(7)
# Nd3Th5As8, relaxed, DFT PBE-GGA
data_Nd3Th5As8
_chemical_formula_sum 'Nd9 Th15 As24'
_space_group_name_H-M_alt 'R -3 m'
_space_group_IT_number 166
_space_group_name_Hall '-R 3 2"'
_cell_length_a 8.5222
_cell_length_b 8.5222
_cell_length_c 20.8483
_cell_angle_alpha 90.00
_cell_angle_beta 90.00
_cell_angle_gamma 120.00
loop_
_atom_site_label
_atom_site_fract_x
_atom_site_fract_y
_atom_site_fract_z
_atom_site_occupancy
Nd1 0.0000 0.5000 0.0000 1
Th1 0.0000 0.0000 0.0000 1
Th2 0.0000 0.0000 0.5000 1
Th3 0.0000 0.5000 0.5000 1
As1 0.0000 0.0000 0.2488 1
As2 0.0012 0.5006 0.7506 1
# crystal system = trigonal
# total DFT energy (no corrections) = -0.2570 hartree per atom
# energy of formation from the pure elements = -23.3 eV/f.u.

(8)
# Nd3ThAs4, relaxed, DFT PBE-GGA
data_Nd3ThAs4
_chemical_formula_sum 'Nd3 Th1 As4'
_space_group_name_H-M_alt 'P m -3 m'
_space_group_IT_number 221
_space_group_name_Hall '-P 4 2 3'
_cell_length_a 6.0349
_cell_length_b 6.0349
_cell_length_c 6.0349
_cell_angle_alpha 90.00
_cell_angle_beta 90.00
_cell_angle_gamma 90.00
loop_
_atom_site_label
_atom_site_fract_x
_atom_site_fract_y
_atom_site_fract_z
_atom_site_occupancy
Nd1 0.0000 0.0000 0.5000 1
Th1 0.5000 0.5000 0.5000 1
As1 0.0000 0.0000 0.0000 1
As2 0.0000 0.5000 0.5000 1
# crystal system = cubic
# relative energy among the computed polymorphs = 0.0142 eV per atom
# total DFT energy (no corrections) = -0.2403 hartree per atom
# energy of formation from the pure elements = -12.0 eV/f.u.